Run A
Computed, not measured: crystalline CdAg2HAu at its relaxed geometry at the PBE level of DFT.

abc: 4.4394 4.4394 3.9506
angles: 90.00 90.00 90.00
Element x y z (fractional)
Cd  0.0000  0.0000  0.0000
Ag  0.0000  0.5000  0.5000
Ag  0.5000  0.0000  0.5000
H  0.5000  0.5000  0.5000
Au  0.5000  0.5000  0.0000

## Properties
* DOS at the Fermi energy: 0.89 states/eV/f.u.
* volume: 77.9 Å³ per cell
* symmetry: P4/mmm
* magnetic moment: 0.00 μB/atom


Run B
Computed, not measured: crystalline CdAg2HAu at its relaxed geometry at the PBE level of DFT.

abc: 4.0965 4.0965 4.6410
angles: 90.00 90.00 90.00
Element x y z (fractional)
Cd  0.0000  0.0000  0.0000
Ag  0.0000  0.5000  0.5000
Ag  0.5000  0.0000  0.5000
H  0.0000  0.0000  0.5000
Au  0.5000  0.5000  0.0000

## Properties
* DOS at the Fermi energy: 1.28 states/eV/f.u.
* volume: 77.9 Å³ per cell
* symmetry: P4/mmm
* magnetic moment: 0.00 μB/atom


Most stable pick: run A. Distance to second place: 6 meV/atom.


Run A
Computed, not measured: crystalline KCd2AgAu at its relaxed geometry at the PBE level of DFT.

abc: 5.3322 5.3322 5.4105
angles: 90.00 90.00 90.00
Element x y z (fractional)
K  0.0000  0.0000  0.0000
Cd  0.0000  0.5000  0.5000
Cd  0.5000  0.0000  0.5000
Ag  0.5000  0.5000  0.5000
Au  0.5000  0.5000  0.0000

## Properties
* DOS at the Fermi energy: 1.85 states/eV/f.u.
* volume: 153.8 Å³ per cell
* symmetry: P4/mmm
* magnetic moment: 0.00 μB/atom


Run B
Computed, not measured: crystalline KCd2AgAu at its relaxed geometry at the PBE level of DFT.

abc: 5.3351 5.3351 5.4434
angles: 90.00 90.00 90.00
Element x y z (fractional)
K  0.0000  0.0000  0.0000
Cd  0.0000  0.5000  0.5000
Cd  0.5000  0.0000  0.5000
Ag  0.5000  0.5000  0.0000
Au  0.5000  0.5000  0.5000

## Properties
* DOS at the Fermi energy: 1.18 states/eV/f.u.
* volume: 154.9 Å³ per cell
* symmetry: P4/mmm
* magnetic moment: 0.00 μB/atom


Most stable pick: run B. Distance to second place: 73 meV/atom.


Run A
Computed, not measured: crystalline Ce4AgAu2 at its relaxed geometry at the PBE level of DFT.

abc: 13.0873 13.0873 13.0873
angles: 18.35 18.35 18.35
Element x y z (fractional)
Ce  0.1141  0.1141  0.1141
Ce  0.3149  0.3149  0.3149
Ce  0.6851  0.6851  0.6851
Ce  0.8859  0.8859  0.8859
Ag  0.5000  0.5000  0.5000
Au  0.4013  0.4013  0.4013
Au  0.5987  0.5987  0.5987

## Properties
* DOS at the Fermi energy: 20.32 states/eV/f.u.
* volume: 193.9 Å³ per cell
* symmetry: R-3m
* magnetic moment: 0.26 μB/atom


Run B
Computed, not measured: crystalline Ce4AgAu2 at its relaxed geometry at the PBE level of DFT.

abc: 6.3320 6.3320 4.7332
angles: 90.00 90.00 106.19
Element x y z (fractional)
Ce  0.0000  0.5000  0.5000
Ce  0.1827  0.1827  0.0000
Ce  0.5000  0.0000  0.5000
Ce  0.8173  0.8173  0.0000
Ag  0.5000  0.5000  0.5000
Au  0.2941  0.7059  0.0000
Au  0.7059  0.2941  0.0000

## Properties
* DOS at the Fermi energy: 21.41 states/eV/f.u.
* volume: 182.2 Å³ per cell
* symmetry: Cmmm
* magnetic moment: 0.64 μB/atom


Most stable pick: run B. Distance to second place: 52 meV/atom.


Run A
Computed, not measured: crystalline CeAg2Au at its relaxed geometry at the PBE level of DFT.

abc: 5.6192 5.6192 7.7434
angles: 90.00 90.00 132.92
Element x y z (fractional)
Ce  0.0747  0.9253  0.7500
Ce  0.9253  0.0747  0.2500
Ag  0.3709  0.6291  0.5578
Ag  0.3709  0.6291  0.9422
Ag  0.6291  0.3709  0.0578
Ag  0.6291  0.3709  0.4422
Au  0.2191  0.7809  0.2500
Au  0.7809  0.2191  0.7500

## Properties
* DOS at the Fermi energy: 7.94 states/eV/f.u.
* volume: 179.1 Å³ per cell
* symmetry: Cmcm
* magnetic moment: 0.24 μB/atom


Run B
Computed, not measured: crystalline CeAg2Au at its relaxed geometry at the PBE level of DFT.

abc: 4.9759 4.9759 4.9759
angles: 60.00 60.00 60.00
Element x y z (fractional)
Ce  0.0000  0.0000  0.0000
Ag  0.2500  0.2500  0.2500
Ag  0.7500  0.7500  0.7500
Au  0.5000  0.5000  0.5000

## Properties
* DOS at the Fermi energy: 7.85 states/eV/f.u.
* volume: 87.1 Å³ per cell
* symmetry: Fm-3m
* magnetic moment: 0.27 μB/atom


Most stable pick: run A. Distance to second place: 110 meV/atom.


Run A
Computed, not measured: crystalline LaCeAgAu at its relaxed geometry at the PBE level of DFT.

abc: 5.3138 5.3138 5.3138
angles: 60.00 60.00 60.00
Element x y z (fractional)
La  0.0000  0.0000  0.0000
Ce  0.5000  0.5000  0.5000
Ag  0.2500  0.2500  0.2500
Au  0.7500  0.7500  0.7500

## Properties
* DOS at the Fermi energy: 9.82 states/eV/f.u.
* volume: 106.1 Å³ per cell
* symmetry: F-43m
* magnetic moment: 0.29 μB/atom


Run B
Computed, not measured: crystalline LaCeAgAu at its relaxed geometry at the PBE level of DFT.

abc: 3.7579 3.7579 7.5244
angles: 90.00 90.00 90.00
Element x y z (fractional)
La  0.0000  0.0000  0.0000
Ce  0.0000  0.0000  0.5155
Ag  0.5000  0.5000  0.2664
Au  0.5000  0.5000  0.7453

## Properties
* DOS at the Fermi energy: 9.61 states/eV/f.u.
* volume: 106.3 Å³ per cell
* symmetry: P4mm
* magnetic moment: 0.28 μB/atom


Most stable pick: run B. Distance to second place: 11 meV/atom.


Run A
Computed, not measured: crystalline CeThAgAu at its relaxed geometry at the PBE level of DFT.

abc: 5.2525 5.2525 5.2525
angles: 60.00 60.00 60.00
Element x y z (fractional)
Ce  0.0000  0.0000  0.0000
Th  0.5000  0.5000  0.5000
Ag  0.7500  0.7500  0.7500
Au  0.2500  0.2500  0.2500

## Properties
* DOS at the Fermi energy: 8.50 states/eV/f.u.
* volume: 102.5 Å³ per cell
* symmetry: F-43m
* magnetic moment: 0.36 μB/atom


Run B
Computed, not measured: crystalline CeThAgAu at its relaxed geometry at the PBE level of DFT.

abc: 4.7223 6.1978 6.1978
angles: 35.21 90.00 90.00
Element x y z (fractional)
Ce  0.0000  0.0000  0.0000
Th  0.5000  0.7005  0.7005
Ag  0.0000  0.2776  0.2776
Au  0.5000  0.4273  0.4273

## Properties
* DOS at the Fermi energy: 8.17 states/eV/f.u.
* volume: 104.6 Å³ per cell
* symmetry: Amm2
* magnetic moment: 0.29 μB/atom


Most stable pick: run B. Distance to second place: 17 meV/atom.